# 1
## P2OsW (PBE)

Data for crystalline P2OsW at its relaxed geometry. Values from VASP.

Summary:
The energy above the most stable polymorph in this dataset comes out at 0.364 eV/atom.

Geometry as Quantum ESPRESSO input:
```
&SYSTEM
  ibrav = 0, nat = 4, ntyp = 3
/
ATOMIC_SPECIES
P 30.97 P.upf
Os 190.23 Os.upf
W 183.84 W.upf
CELL_PARAMETERS angstrom
2.998 0.000 0.000
0.000 3.654 0.000
0.000 0.000 5.204
ATOMIC_POSITIONS crystal
P 0.000 0.000 0.221
P 0.000 0.000 0.779
Os 0.000 0.500 0.500
W 0.500 0.500 0.000
```

# 2
## Ba2TaNi (PBE)

Data for crystalline Ba2TaNi at its relaxed geometry. Values from VASP.

Summary:
The energy above the most stable polymorph in this dataset comes out at 0.746 eV/atom.

Geometry as Quantum ESPRESSO input:
```
&SYSTEM
  ibrav = 0, nat = 4, ntyp = 3
/
ATOMIC_SPECIES
Ba 137.33 Ba.upf
Ta 180.95 Ta.upf
Ni 58.69 Ni.upf
CELL_PARAMETERS angstrom
-2.680 2.680 3.783
2.680 -2.680 3.783
2.680 2.680 -3.783
ATOMIC_POSITIONS crystal
Ba 0.000 0.000 0.000
Ba 0.750 0.250 0.500
Ta 0.250 0.750 0.500
Ni 0.500 0.500 0.000
```

# 3
## Hf3ZnRu (PBE)

Data for crystalline Hf3ZnRu at its relaxed geometry. Values from VASP.

Summary:
The energy above the most stable polymorph in this dataset comes out at 0.558 eV/atom.

Geometry as Quantum ESPRESSO input:
```
&SYSTEM
  ibrav = 0, nat = 5, ntyp = 3
/
ATOMIC_SPECIES
Hf 178.49 Hf.upf
Zn 65.41 Zn.upf
Ru 101.07 Ru.upf
CELL_PARAMETERS angstrom
4.806 0.000 0.000
0.000 4.806 0.000
0.000 0.000 4.806
ATOMIC_POSITIONS crystal
Hf 0.000 0.000 0.500
Hf 0.000 0.500 0.000
Hf 0.500 0.000 0.000
Zn 0.000 0.000 0.000
Ru 0.500 0.500 0.500
```